A plane-wave DFT calculation with GGA-PBE was carried out for crystalline Tb3Co2Sn3 at its relaxed geometry.

POSCAR file:
```
Tb3Co2Sn3
1.0
4.4389 0.0000 0.0000
-2.2194 5.4064 0.0000
0.0000 0.0000 14.8919
Co Sn Tb
4 6 6
direct
0.7956 0.5911 0.6074 Co
0.2044 0.4089 0.1074 Co
0.7956 0.5911 0.8926 Co
0.2044 0.4089 0.3926 Co
0.6387 0.2775 0.4634 Sn
0.3613 0.7225 0.9634 Sn
0.6512 0.3025 0.7500 Sn
0.3613 0.7225 0.5366 Sn
0.6387 0.2775 0.0366 Sn
0.3488 0.6975 0.2500 Sn
0.3525 0.7049 0.7500 Tb
0.6475 0.2951 0.2500 Tb
0.9277 0.8553 0.3894 Tb
0.0723 0.1447 0.8894 Tb
0.0723 0.1447 0.6106 Tb
0.9277 0.8553 0.1106 Tb
```

formation enthalpy at 0 K	-0.5554	eV/atom
crystal system	orthorhombic
magnetic moment	0.00	μB/f.u.

A plane-wave DFT calculation with GGA-PBE was carried out for crystalline Tb2CoSn at its relaxed geometry.

POSCAR file:
```
Tb2CoSn
1.0
3.4075 0.0000 0.0000
0.0000 3.4075 0.0000
0.0000 0.0000 7.8767
Tb Sn Co
2 1 1
direct
0.0000 0.0000 0.7908 Tb
0.0000 0.0000 0.2092 Tb
0.5000 0.5000 0.5000 Sn
0.5000 0.5000 0.0000 Co
```

formation enthalpy at 0 K	-0.3869	eV/atom
crystal system	tetragonal
energy above the lowest structure with this stoichiometry	0.000	eV per atom
magnetic moment	0.23	μB/f.u.

A plane-wave DFT calculation with GGA-PBE was carried out for crystalline Tb2CoSn at its relaxed geometry.

POSCAR file:
```
Tb2CoSn
1.0
-4.4039 -3.4122 2.4839
5.5711 -5.1539 2.7973
-2.2586 6.8089 5.3489
Sn Tb Co
4 8 4
direct
0.0000 0.7294 0.5000 Sn
0.5000 0.7706 0.5000 Sn
0.0000 0.2706 0.5000 Sn
0.5000 0.2294 0.5000 Sn
0.2500 0.4240 0.8482 Tb
0.2404 0.8745 0.2491 Tb
0.7500 0.5760 0.1518 Tb
0.7404 0.6255 0.7509 Tb
0.2500 0.9240 0.8482 Tb
0.7596 0.1255 0.7509 Tb
0.7500 0.0760 0.1518 Tb
0.2596 0.3745 0.2491 Tb
0.2950 0.5527 0.6053 Co
0.2050 0.0527 0.6053 Co
0.7050 0.4473 0.3947 Co
0.7950 0.9473 0.3947 Co
```

formation enthalpy at 0 K	-0.2464	eV/atom
crystal system	orthorhombic
energy above the lowest structure with this stoichiometry	0.141	eV per atom
magnetic moment	0.00	μB/f.u.

A plane-wave DFT calculation with GGA-PBE was carried out for crystalline Tb2CoSn at its relaxed geometry.

POSCAR file:
```
Tb2CoSn
1.0
-0.7054 2.8025 2.3313
-3.3410 1.6198 -0.0012
-4.3505 -4.7124 7.3054
Tb Sn Co
2 1 1
direct
0.1125 0.1125 0.6626 Tb
0.8875 0.8875 0.3374 Tb
0.0000 0.0000 0.0000 Sn
0.5000 0.5000 0.5000 Co
```

formation enthalpy at 0 K	-0.0083	eV/atom
crystal system	trigonal
energy above the lowest structure with this stoichiometry	0.379	eV per atom
magnetic moment	0.00	μB/f.u.

A plane-wave DFT calculation with GGA-PBE was carried out for crystalline Tb4CoSn2 at its relaxed geometry.

POSCAR file:
```
Tb4CoSn2
1.0
-1.9014 2.7819 3.0441
1.9286 -5.5155 6.2450
3.9353 4.3385 -4.8937
Sn Tb Co
2 4 1
direct
0.3497 0.3634 0.6995 Sn
0.6503 0.6366 0.3005 Sn
0.6665 0.2728 0.3330 Tb
0.3335 0.7272 0.6670 Tb
0.0686 0.7907 0.1371 Tb
0.9314 0.2093 0.8629 Tb
0.0000 0.0000 0.0000 Co
```

formation enthalpy at 0 K	-0.4981	eV/atom
crystal system	monoclinic
energy above the lowest structure with this stoichiometry	0.000	eV per atom
magnetic moment	0.00	μB/f.u.

A plane-wave DFT calculation with GGA-PBE was carried out for crystalline TbCo2Sn7 at its relaxed geometry.

POSCAR file:
```
TbCo2Sn7
1.0
4.5292 0.0000 0.0000
0.0000 7.9170 0.1237
0.0000 -3.3815 7.1596
Sn Tb Co
7 1 2
direct
0.5000 0.9383 0.6612 Sn
0.0000 0.7524 0.2476 Sn
0.5000 0.6612 0.9383 Sn
0.5000 0.5000 0.5000 Sn
0.5000 0.0617 0.3388 Sn
0.5000 0.3388 0.0617 Sn
0.0000 0.2476 0.7524 Sn
0.0000 0.0000 0.0000 Tb
0.5000 0.3184 0.6816 Co
0.5000 0.6816 0.3184 Co
```

formation enthalpy at 0 K	-0.0199	eV/atom
crystal system	orthorhombic
magnetic moment	0.00	μB/f.u.

A plane-wave DFT calculation with GGA-PBE was carried out for crystalline TbCoSn6 at its relaxed geometry.

POSCAR file:
```
TbCoSn6
1.0
-0.6340 -5.8581 -2.1768
6.7009 -2.5440 -1.1575
3.4844 -2.9223 3.8233
Co Sn Tb
1 6 1
direct
0.5000 0.5000 0.0000 Co
0.7887 0.6031 0.6009 Sn
0.2113 0.3969 0.3991 Sn
0.6312 0.7934 0.0000 Sn
0.3688 0.2066 0.0000 Sn
0.2113 0.7960 0.6009 Sn
0.7887 0.2040 0.3991 Sn
0.0000 0.0000 0.0000 Tb
```

formation enthalpy at 0 K	-0.1234	eV/atom
crystal system	monoclinic
magnetic moment	0.00	μB/f.u.

A plane-wave DFT calculation with GGA-PBE was carried out for crystalline TbCo3Sn5 at its relaxed geometry.

POSCAR file:
```
TbCo3Sn5
1.0
-2.0315 -6.7744 0.7025
6.1009 -3.6243 -0.3948
2.6023 -3.8655 8.1893
Sn Co Tb
10 6 2
direct
0.5832 0.5832 0.6448 Sn
0.2978 0.7022 0.0000 Sn
0.9373 0.3817 0.3393 Sn
0.7590 0.7590 0.0372 Sn
0.6183 0.0627 0.6607 Sn
0.2410 0.2410 0.9628 Sn
0.0627 0.6183 0.6607 Sn
0.3817 0.9373 0.3393 Sn
0.7022 0.2978 0.0000 Sn
0.4168 0.4168 0.3552 Sn
0.6923 0.6923 0.8205 Co
0.0000 0.0000 0.5000 Co
0.6430 0.6430 0.3476 Co
0.3077 0.3077 0.1795 Co
0.3570 0.3570 0.6524 Co
0.0000 0.0000 0.0000 Co
0.0945 0.0945 0.6982 Tb
0.9055 0.9055 0.3018 Tb
```

formation enthalpy at 0 K	-0.1256	eV/atom
crystal system	monoclinic
magnetic moment	0.00	μB/f.u.

A plane-wave DFT calculation with GGA-PBE was carried out for crystalline Tb7Co2Sn2 at its relaxed geometry.

POSCAR file:
```
Tb7Co2Sn2
1.0
3.5653 0.0000 0.0000
1.7827 9.5441 -0.1912
1.7827 4.3569 8.4937
Tb Co Sn
7 2 2
direct
0.3713 0.7227 0.5347 Tb
0.8176 0.0890 0.2758 Tb
0.8466 0.4012 0.9057 Tb
0.1534 0.0943 0.5988 Tb
0.1824 0.7242 0.9110 Tb
0.6287 0.4653 0.2773 Tb
0.5000 0.0382 0.9618 Tb
0.7404 0.8556 0.6636 Co
0.2596 0.3364 0.1444 Co
0.0000 0.7732 0.2268 Sn
0.5000 0.3538 0.6462 Sn
```

formation enthalpy at 0 K	-0.3507	eV/atom
crystal system	orthorhombic
magnetic moment	0.00	μB/f.u.

A plane-wave DFT calculation with GGA-PBE was carried out for crystalline Tb3CoSn2 at its relaxed geometry.

POSCAR file:
```
Tb3CoSn2
1.0
-2.8996 -0.4309 3.1565
8.4407 -3.1608 7.3222
1.6727 11.7387 3.1390
Sn Tb Co
8 12 4
direct
0.7500 0.3135 0.5050 Sn
0.2500 0.8135 0.9950 Sn
0.7500 0.9935 0.6897 Sn
0.2500 0.4935 0.8103 Sn
0.2500 0.0065 0.3103 Sn
0.7500 0.1865 0.0050 Sn
0.2500 0.6865 0.4950 Sn
0.7500 0.5065 0.1897 Sn
0.7500 0.6311 0.9463 Tb
0.2500 0.7111 0.2388 Tb
0.2500 0.7889 0.7388 Tb
0.2500 0.0472 0.8774 Tb
0.2500 0.1311 0.5537 Tb
0.7500 0.5472 0.6226 Tb
0.7500 0.9528 0.1226 Tb
0.2500 0.4528 0.3774 Tb
0.7500 0.8689 0.4463 Tb
0.2500 0.3689 0.0537 Tb
0.7500 0.2111 0.2612 Tb
0.7500 0.2889 0.7612 Tb
0.2500 0.3665 0.6295 Co
0.7500 0.8665 0.8705 Co
0.2500 0.1335 0.1295 Co
0.7500 0.6335 0.3705 Co
```

formation enthalpy at 0 K	-0.5981	eV/atom
crystal system	orthorhombic
magnetic moment	0.00	μB/f.u.

A plane-wave DFT calculation with GGA-PBE was carried out for crystalline Tb3CoSn3 at its relaxed geometry.

POSCAR file:
```
Tb3CoSn3
1.0
4.3906 0.0000 0.6614
2.1645 5.5628 0.5353
0.1052 0.0631 14.2059
Tb Sn Co
6 6 2
direct
0.5959 0.7279 0.0804 Tb
0.5202 0.3427 0.6170 Tb
0.4798 0.6573 0.3830 Tb
0.2582 0.2433 0.2403 Tb
0.7418 0.7567 0.7597 Tb
0.4041 0.2721 0.9196 Tb
0.8456 0.7707 0.5381 Sn
0.1544 0.2293 0.4619 Sn
0.9681 0.8233 0.2406 Sn
0.0319 0.1767 0.7594 Sn
0.1294 0.8182 0.9231 Sn
0.8706 0.1818 0.0769 Sn
0.2455 0.8973 0.6116 Co
0.7545 0.1027 0.3884 Co
```

formation enthalpy at 0 K	-0.6251	eV/atom
crystal system	monoclinic
magnetic moment	0.00	μB/f.u.

A plane-wave DFT calculation with GGA-PBE was carried out for crystalline Tb4CoSn3 at its relaxed geometry.

POSCAR file:
```
Tb4CoSn3
1.0
-0.1262 -0.4588 4.2997
0.2291 -4.3182 -0.4540
11.1084 0.5489 0.3846
Sn Tb Co
3 4 1
direct
0.0000 0.5000 0.5947 Sn
0.0000 0.0000 0.4122 Sn
0.5000 0.0000 0.9266 Sn
0.0000 0.0000 0.1351 Tb
0.5000 0.5000 0.3329 Tb
0.5000 0.0000 0.6423 Tb
0.0000 0.5000 0.8816 Tb
0.5000 0.5000 0.0746 Co
```

formation enthalpy at 0 K	-0.5319	eV/atom
crystal system	orthorhombic
magnetic moment	0.37	μB/f.u.

A plane-wave DFT calculation with GGA-PBE was carried out for crystalline Tb3Co8Sn4 at its relaxed geometry.

POSCAR file:
```
Tb3Co8Sn4
1.0
7.4533 0.0000 0.0000
0.0000 8.9201 0.0000
0.0000 -4.4600 7.7250
Co Sn Tb
16 8 6
direct
0.9539 0.3173 0.1586 Co
0.2609 0.9027 0.8055 Co
0.7609 0.8055 0.9027 Co
0.4539 0.1586 0.3173 Co
0.2609 0.1945 0.0973 Co
0.9539 0.8414 0.1586 Co
0.0064 0.0000 0.0000 Co
0.4539 0.6827 0.8414 Co
0.5064 0.0000 0.0000 Co
0.5699 0.6667 0.3333 Co
0.4539 0.1586 0.8414 Co
0.7609 0.0973 0.9027 Co
0.0699 0.3333 0.6667 Co
0.7609 0.0973 0.1945 Co
0.2609 0.9027 0.0973 Co
0.9539 0.8414 0.6827 Co
0.4483 0.3333 0.6667 Sn
0.5812 0.3428 0.1714 Sn
0.5812 0.8286 0.6572 Sn
0.5812 0.8286 0.1714 Sn
0.0812 0.6572 0.8286 Sn
0.0812 0.1714 0.3428 Sn
0.0812 0.1714 0.8286 Sn
0.9483 0.6667 0.3333 Sn
0.7842 0.0593 0.5296 Tb
0.2842 0.5296 0.0593 Tb
0.7842 0.4704 0.5296 Tb
0.2842 0.5296 0.4704 Tb
0.7842 0.4704 0.9407 Tb
0.2842 0.9407 0.4704 Tb
```

formation enthalpy at 0 K	-0.3093	eV/atom
crystal system	hexagonal
magnetic moment	7.30	μB/f.u.

A plane-wave DFT calculation with GGA-PBE was carried out for crystalline TbCo6Sn12 at its relaxed geometry.

POSCAR file:
```
TbCo6Sn12
1.0
7.7141 -0.1381 -0.1945
-2.0460 7.4391 -0.1945
-2.0460 -2.6354 6.9594
Sn Co Tb
12 6 1
direct
0.4062 0.4062 0.1495 Sn
0.5938 0.8505 0.5938 Sn
0.1219 0.8781 0.5000 Sn
0.5000 0.8781 0.1219 Sn
0.5938 0.5938 0.8505 Sn
0.5000 0.1219 0.8781 Sn
0.8781 0.1219 0.5000 Sn
0.1219 0.5000 0.8781 Sn
0.8781 0.5000 0.1219 Sn
0.1495 0.4062 0.4062 Sn
0.4062 0.1495 0.4062 Sn
0.8505 0.5938 0.5938 Sn
0.2764 0.6958 0.2764 Co
0.3042 0.7236 0.7236 Co
0.7236 0.3042 0.7236 Co
0.2764 0.2764 0.6958 Co
0.7236 0.7236 0.3042 Co
0.6958 0.2764 0.2764 Co
0.0000 0.0000 0.0000 Tb
```

formation enthalpy at 0 K	0.0599	eV/atom
crystal system	trigonal
magnetic moment	0.00	μB/f.u.

A plane-wave DFT calculation with GGA-PBE was carried out for crystalline Tb12CoSn6 at its relaxed geometry.

POSCAR file:
```
Tb12CoSn6
1.0
8.5945 -0.0432 -0.0517
-1.3456 8.4886 -0.0517
-1.3456 -1.5677 8.3428
Sn Tb Co
6 12 1
direct
0.8788 0.3576 0.6892 Sn
0.6892 0.8788 0.3576 Sn
0.3108 0.1212 0.6424 Sn
0.1212 0.6424 0.3108 Sn
0.6424 0.3108 0.1212 Sn
0.3576 0.6892 0.8788 Sn
0.5579 0.1963 0.4251 Tb
0.1963 0.4251 0.5579 Tb
0.8037 0.5749 0.4421 Tb
0.5749 0.4421 0.8037 Tb
0.6914 0.9461 0.0107 Tb
0.3086 0.0539 0.9893 Tb
0.9461 0.0107 0.6914 Tb
0.4421 0.8037 0.5749 Tb
0.0539 0.9893 0.3086 Tb
0.0107 0.6914 0.9461 Tb
0.4251 0.5579 0.1963 Tb
0.9893 0.3086 0.0539 Tb
0.0000 0.0000 0.0000 Co
```

formation enthalpy at 0 K	-0.3766	eV/atom
crystal system	trigonal
magnetic moment	0.00	μB/f.u.

A plane-wave DFT calculation with GGA-PBE was carried out for crystalline Tb2CoSn2 at its relaxed geometry.

POSCAR file:
```
Tb2CoSn2
1.0
6.1056 0.0000 0.0000
0.0000 6.1793 0.0000
-3.0528 -3.0896 6.4142
Sn Tb Co
4 4 2
direct
0.0867 0.8858 0.1734 Sn
0.9133 0.1142 0.8266 Sn
0.5867 0.2875 0.1734 Sn
0.4133 0.7125 0.8266 Sn
0.6591 0.8687 0.3183 Tb
0.8409 0.5504 0.6817 Tb
0.3409 0.1313 0.6817 Tb
0.1591 0.4496 0.3183 Tb
0.7500 0.5000 0.0000 Co
0.2500 0.5000 0.0000 Co
```

formation enthalpy at 0 K	-0.5061	eV/atom
crystal system	orthorhombic
magnetic moment	0.55	μB/f.u.

A plane-wave DFT calculation with GGA-PBE was carried out for crystalline Tb4CoSn2 at its relaxed geometry.

POSCAR file:
```
Tb4CoSn2
1.0
-4.4140 0.3014 2.0909
1.4773 -3.0217 3.5542
4.0166 7.8358 1.6236
Tb Sn Co
4 2 1
direct
0.5000 0.0000 0.0000 Tb
0.8263 0.8263 0.6526 Tb
0.0000 0.5000 0.0000 Tb
0.1737 0.1737 0.3474 Tb
0.6384 0.6384 0.2769 Sn
0.3616 0.3616 0.7231 Sn
0.0000 0.0000 0.0000 Co
```

formation enthalpy at 0 K	-0.4197	eV/atom
crystal system	tetragonal
energy above the lowest structure with this stoichiometry	0.078	eV per atom
magnetic moment	0.00	μB/f.u.

A plane-wave DFT calculation with GGA-PBE was carried out for crystalline Tb4Co2Sn at its relaxed geometry.

POSCAR file:
```
Tb4Co2Sn
1.0
8.2600 -1.9566 -0.2661
-2.5504 8.1024 0.1334
-2.8054 -3.2200 5.4342
Tb Co Sn
8 4 2
direct
0.8888 0.5478 0.6034 Tb
0.4334 0.5159 0.2914 Tb
0.4932 0.7811 0.9216 Tb
0.7675 0.1853 0.7930 Tb
0.2731 0.0976 0.7255 Tb
0.3486 0.0223 0.2253 Tb
0.7971 0.6395 0.1031 Tb
0.0304 0.2430 0.4231 Tb
0.8001 0.9042 0.4510 Co
0.4980 0.4053 0.6251 Co
0.1555 0.5527 0.9524 Co
0.6582 0.2492 0.1264 Co
0.1865 0.6680 0.3789 Sn
0.9196 0.9382 0.8799 Sn
```

formation enthalpy at 0 K	-0.2707	eV/atom
crystal system	triclinic
magnetic moment	0.00	μB/f.u.

A plane-wave DFT calculation with GGA-PBE was carried out for crystalline TbZnCoSn at its relaxed geometry.

POSCAR file:
```
TbZnCoSn
1.0
-2.0381 -2.6801 3.2564
-3.1731 -3.2080 -1.2574
1.0439 -4.5583 0.2707
Co Tb Zn Sn
1 1 1 1
direct
0.7500 0.7500 0.7500 Co
0.5000 0.5000 0.5000 Tb
0.2500 0.2500 0.2500 Zn
0.0000 0.0000 0.0000 Sn
```

formation enthalpy at 0 K	-0.2125	eV/atom
crystal system	cubic
magnetic moment	0.31	μB/f.u.

A plane-wave DFT calculation with GGA-PBE was carried out for crystalline CoTc3Sn at its relaxed geometry.

POSCAR file:
```
CoTc3Sn
1.0
-0.6941 0.7593 4.3287
2.4459 -3.5742 1.0191
3.6513 2.5386 0.1402
Tc Co Sn
3 1 1
direct
0.0000 0.5000 0.0000 Tc
0.5000 0.0000 0.0000 Tc
0.0000 0.0000 0.5000 Tc
0.0000 0.0000 0.0000 Co
0.5000 0.5000 0.5000 Sn
```

formation enthalpy at 0 K	1.1209	eV/atom
crystal system	cubic
energy above the lowest structure with this stoichiometry	0.000	eV per atom
magnetic moment	1.49	μB/f.u.